Record 1
The following is a DFT calculation (PBE) of a relaxed structure of VB3C.

Output
Its volume is 7.91 A^3/atom. As for the energy relative to the lowest polymorph listed for this composition: 0.00 kJ/mol of atoms. As for the total moment: 0.00 μB per formula unit.

Lattice parameters (Å, degrees): 3.4067 3.4067 3.4067 90.00 90.00 90.00
Closest atoms and distances in Å follow each position.
Space group Pm-3m (No. 221)
Symmetry-distinct sites (fractional):
V1 0.0000 0.0000 0.0000 [1 per cell]  12 B 2.41
B1 0.0000 0.5000 0.5000 [3 per cell]  2 C 1.70
C1 0.5000 0.5000 0.5000 [1 per cell]  6 B 1.70


Record 2
The following is a DFT calculation (PBE) of a relaxed structure of Ac3La12Tm.

Output
The calculation puts the final energy at -4.731 eV per atom. Its volume is 37.66 A^3/atom. As for the total moment: 0.00 μB per formula unit.

Lattice parameters (Å, degrees): 5.3277 5.3277 21.2284 90.00 90.00 90.00
Closest atoms and distances in Å follow each position.
Space group P4/mmm (No. 123)
Symmetry-distinct sites (fractional):
Ac1 0.0000 0.0000 0.0000 [1 per cell]  12 La 3.77-3.78
Ac2 0.0000 0.0000 0.2532 [2 per cell]  12 La 3.77-3.79
La1 0.0000 0.5000 0.1263 [4 per cell]  8 La 3.77-3.81, 4 Ac 3.78-3.79
La2 0.0000 0.5000 0.3802 [4 per cell]  8 La 3.68-3.77, 2 Tm 3.68, 2 Ac 3.79
La3 0.5000 0.5000 0.0000 [1 per cell]  4 Ac 3.77, 8 La 3.78
La4 0.5000 0.5000 0.2546 [2 per cell]  4 Ac 3.77, 8 La 3.77-3.81
La5 0.5000 0.5000 0.5000 [1 per cell]  8 La 3.68, 4 Tm 3.77
Tm1 0.0000 0.0000 0.5000 [1 per cell]  12 La 3.68-3.77


Record 3
The following is a DFT calculation (PBE) of a relaxed structure of BaNaAu3.

Output
Its volume is 29.79 A^3/atom. As for the energy relative to the lowest polymorph listed for this composition: 31.48 kJ/mol of atoms. As for the total moment: 0.00 μB per formula unit.

Lattice parameters (Å, degrees): 5.3010 5.3010 5.3010 90.00 90.00 90.00
Closest atoms and distances in Å follow each position.
Space group Pm-3m (No. 221)
Symmetry-distinct sites (fractional):
Ba1 0.0000 0.0000 0.0000 [1 per cell]  12 Au 3.75
Na1 0.5000 0.5000 0.5000 [1 per cell]  6 Au 2.65
Au1 0.0000 0.5000 0.5000 [3 per cell]  2 Na 2.65


Record 4
The following is a DFT calculation (PBE) of a relaxed structure of Li3H3N2.

Output
The calculation puts the final energy at -4.546 eV per atom. Its volume is 8.41 A^3/atom. As for the total moment: 0.00 μB per formula unit.

Lattice parameters (Å, degrees): 3.7322 3.4398 5.2391 90.00 90.17 90.00
Closest atoms and distances in Å follow each position.
Space group Pm (No. 6)
Symmetry-distinct sites (fractional):
Li1 0.0000 0.0000 0.0000 [1 per cell]  4 N 2.09-2.26
Li2 0.1667 0.0000 0.4337 [1 per cell]  4 H 2.07-2.18, 3 N 2.09-2.17
Li3 0.5071 0.5000 0.0832 [1 per cell]  2 N 1.95-2.09, 1 H 2.08
H1 0.5794 0.2312 0.6877 [2 per cell]  1 N 1.03
H2 0.8620 0.5000 0.3895 [1 per cell]  1 N 1.04
N1 0.0284 0.5000 0.2311 [1 per cell]  1 H 1.04
N2 0.4728 0.0000 0.7865 [1 per cell]  2 H 1.03


Record 5
The following is a DFT calculation (PBE) of a relaxed structure of YMgSc2Fe.

Output
Its volume is 23.22 A^3/atom. As for the energy relative to the lowest polymorph listed for this composition: 0.00 kJ/mol of atoms. As for the total moment: 0.00 μB per formula unit.

Lattice parameters (Å, degrees): 4.7623 4.7623 5.1180 90.00 90.00 90.00
Closest atoms and distances in Å follow each position.
Space group P4/mmm (No. 123)
Symmetry-distinct sites (fractional):
Y1 0.0000 0.0000 0.0000 [1 per cell]  4 Mg 3.37, 8 Sc 3.50
Mg1 0.5000 0.5000 0.0000 [1 per cell]  2 Fe 2.56
Sc1 0.0000 0.5000 0.5000 [2 per cell]  2 Fe 2.38
Fe1 0.5000 0.5000 0.5000 [1 per cell]  4 Sc 2.38, 2 Mg 2.56


Record 6
The following is a DFT calculation (PBE) of a relaxed structure of K2YCd.

Output
The calculation puts the final energy at -2.090 eV per atom. Its volume is 40.29 A^3/atom. As for the total moment: 0.28 μB per formula unit.

Lattice parameters (Å, degrees): 3.7301 3.7301 40.1220 90.00 90.00 120.00
Closest atoms and distances in Å follow each position.
Space group R-3m (No. 166, hexagonal axes)
Symmetry-distinct sites (fractional):
K1 0.0000 0.0000 0.2450 [6 per cell]  6 K 3.73, 3 Cd 3.81, 3 Y 4.15
Y1 0.0000 0.0000 0.0000 [3 per cell]  6 Y 3.73, 6 K 4.15
Cd1 0.0000 0.0000 0.5000 [3 per cell]  6 Cd 3.73, 6 K 3.81


Record 7
The following is a DFT calculation (PBE) of a relaxed structure of FeAgOs2.

Output
Its volume is 14.75 A^3/atom. As for the energy relative to the lowest polymorph listed for this composition: 26.01 kJ/mol of atoms. As for the total moment: 2.78 μB per formula unit.

Lattice parameters (Å, degrees): 2.6879 4.4175 5.0424 90.00 99.75 90.00
Closest atoms and distances in Å follow each position.
Space group P2/m (No. 10)
Symmetry-distinct sites (fractional):
Fe1 0.0000 0.0000 0.0000 [1 per cell]  4 Os 2.58, 2 Ag 2.65, 2 Fe 2.69
Ag1 0.5000 0.0000 0.5000 [1 per cell]  2 Fe 2.65, 2 Ag 2.69, 4 Os 2.81
Os1 0.1787 0.5000 0.7695 [2 per cell]  2 Fe 2.58, 5 Os 2.65-2.73, 2 Ag 2.81


Record 8
The following is a DFT calculation (PBE) of a relaxed structure of Pm5Cd12Bi3.

Output
The calculation puts the final energy at -2.038 eV per atom. Its volume is 36.02 A^3/atom. As for the total moment: 0.00 μB per formula unit.

Lattice parameters (Å, degrees): 17.9286 17.9286 17.9286 90.00 90.00 90.00
Closest atoms and distances in Å follow each position.
Space group Ia-3d (No. 230)
Symmetry-distinct sites (fractional):
Pm1 0.0000 0.0000 0.0000 [16 per cell]  6 Cd 3.10
Pm2 0.0000 0.2500 0.3750 [24 per cell]  4 Cd 3.15
Cd1 0.0049 0.0825 0.6519 [96 per cell]  1 Cd 3.02, 2 Bi 3.04-3.27, 2 Pm 3.10-3.15
Bi1 0.0000 0.2500 0.1250 [24 per cell]  8 Cd 3.04-3.27